VASP calculation (PBE) on a relaxed structure of SrMgBiIr.

The structure belongs to space group F-43m (No. 216); the cell edges are 7.183, 7.183 and 7.183 Å and the angles 90.00°, 90.00° and 90.00°. The inequivalent atoms are Sr at (0.000, 0.000, 0.000), Mg at (0.250, 0.250, 0.750), Bi at (0.000, 0.000, 0.500) and Ir at (0.250, 0.250, 0.250).

The mass density is 9.196 g cm⁻³. For the spin magnetization, the calculation gives 0.001 μB per atom. The uncorrected energy comes out at -4.03 eV per atom.



VASP calculation (PBE) on a relaxed structure of ZnTePtO.

The structure belongs to space group Pca2_1 (No. 29); the cell edges are 6.121, 8.216 and 5.545 Å and the angles 90.00°, 90.00° and 90.00°. The inequivalent atoms are Zn at (0.093, 0.086, 0.000), Te at (0.134, 0.454, 0.525), Pt at (0.218, 0.745, 0.087) and O at (0.101, 0.086, 0.643).

The mass density is 9.624 g cm⁻³. For the spin magnetization, the calculation gives 0.000 μB per atom. The uncorrected energy comes out at -4.19 eV per atom.



VASP calculation (PBE) on a relaxed structure of NaTlTeOs.

The structure belongs to space group F-43m (No. 216); the cell edges are 7.046, 7.046 and 7.046 Å and the angles 90.00°, 90.00° and 90.00°. The inequivalent atoms are Na at (0.000, 0.000, 0.000), Tl at (0.250, 0.250, 0.250), Te at (0.000, 0.000, 0.500) and Os at (0.250, 0.250, 0.750).

The mass density is 10.354 g cm⁻³. For the spin magnetization, the calculation gives 0.180 μB per atom. The uncorrected energy comes out at -3.66 eV per atom.